The following is a PBE calculation of Sn3Se3S after structural relaxation, from Alexandria.

Calculated values
V = 391 Å³/cell
ΔE_f (raw) = -0.33 eV per atom

Lattice parameters (Å, degrees): 8.175 8.175 5.848 90.00 90.00 91.99
Fractional coordinates of all 14 atoms:
Sn 0.128 0.872 0.750
Sn 0.141 0.392 0.750
Sn 0.392 0.141 0.250
Sn 0.608 0.859 0.750
Sn 0.859 0.608 0.250
Sn 0.872 0.128 0.250
Se 0.121 0.879 0.250
Se 0.126 0.379 0.250
Se 0.379 0.126 0.750
Se 0.621 0.874 0.250
Se 0.874 0.621 0.750
Se 0.879 0.121 0.750
S 0.346 0.654 0.750
S 0.654 0.346 0.250